Run a
A relaxed structure of Y2TiAu, computed with GGA-PBE.

The structure in extended XYZ format:
```
8
Lattice="-0.6645 -2.8548 7.6294 -2.1897 -7.3104 -2.9262 1.5536 -5.9495 2.2868" Properties=species:S:1:pos:R:3 pbc="T T T"
Y -0.3236 -4.2843 5.2384
Y -1.0402 -6.3144 -0.5676
Y 0.1707 -8.0210 3.5801
Y -1.4080 -13.6097 5.7291
Au 0.0000 0.0000 0.0000
Au -0.2690 -6.9435 6.1339
Ti -1.4271 -5.0826 2.3516
Ti -1.0316 -9.1712 0.8561
```

For the total moment, the calculation gives 1.51 μB/f.u. The density of states at the Fermi level comes out at 5.29 states/eV/f.u.


Run b
A relaxed structure of Y2TiAu, computed with GGA-PBE.

The structure in extended XYZ format:
```
4
Lattice="2.5823 -4.3974 0.5675 -1.2263 -4.0823 -2.8563 3.1857 -1.5991 -3.6908" Properties=species:S:1:pos:R:3 pbc="T T T"
Y 1.1354 -2.5197 -1.4949
Y 3.4063 -7.5591 -4.4847
Au 2.2709 -5.0394 -2.9898
Ti 0.0000 0.0000 0.0000
```

For the total moment, the calculation gives 3.04 μB/f.u. The density of states at the Fermi level comes out at 1.92 states/eV/f.u.


It turns out run b is the most stable, with the second structure 250 meV/atom higher.